## Pu2ZnGa6Tc (PBE-GGA)

Data for crystalline Pu2ZnGa6Tc at its relaxed geometry. Values from VASP.

## Properties
Space group: R-3m
N(E_F) (states/eV per cell): 32.56
Calculated volume (Å³/cell): 384
Formation energy from the elements (eV per atom): 0.03

Quantum ESPRESSO input file:
```
&SYSTEM
  ibrav = 0, nat = 20, ntyp = 4
/
ATOMIC_SPECIES
Pu 244.00 Pu.upf
Zn 65.41 Zn.upf
Ga 69.72 Ga.upf
Tc 98.00 Tc.upf
ATOMIC_POSITIONS crystal
Pu 0.061 0.061 0.061
Pu 0.422 0.422 0.422
Pu 0.578 0.578 0.578
Pu 0.939 0.939 0.939
Zn 0.167 0.167 0.167
Zn 0.833 0.833 0.833
Ga 0.026 0.531 0.531
Ga 0.048 0.048 0.543
Ga 0.048 0.543 0.048
Ga 0.457 0.952 0.952
Ga 0.469 0.469 0.974
Ga 0.469 0.974 0.469
Ga 0.531 0.026 0.531
Ga 0.531 0.531 0.026
Ga 0.543 0.048 0.048
Ga 0.952 0.457 0.952
Ga 0.952 0.952 0.457
Ga 0.974 0.469 0.469
Tc 0.000 0.000 0.000
Tc 0.500 0.500 0.500
CELL_PARAMETERS angstrom
2.694 1.555 15.272
-2.694 1.555 15.272
0.000 -3.111 15.272
```

## Nd2ZnSiPd6 (PBE-GGA)

Data for crystalline Nd2ZnSiPd6 at its relaxed geometry. Values from VASP.

## Properties
Space group: C2/m
N(E_F) (states/eV per cell): 5.04
Formation energy without anion corrections (eV/atom): -0.673
Calculated volume (Å³/cell): 196

Quantum ESPRESSO input file:
```
&SYSTEM
  ibrav = 0, nat = 10, ntyp = 4
/
ATOMIC_SPECIES
Nd 144.24 Nd.upf
Zn 65.41 Zn.upf
Si 28.09 Si.upf
Pd 106.42 Pd.upf
ATOMIC_POSITIONS crystal
Nd 0.240 0.240 0.219
Nd 0.760 0.760 0.781
Zn 0.500 0.500 0.000
Si 0.000 0.000 0.500
Pd 0.235 0.732 0.247
Pd 0.250 0.250 0.600
Pd 0.268 0.765 0.753
Pd 0.732 0.235 0.247
Pd 0.750 0.750 0.400
Pd 0.765 0.268 0.753
CELL_PARAMETERS angstrom
5.799 -2.772 0.000
5.799 2.772 0.000
-5.604 0.000 6.094
```

## SnRuAu2 (PBE-GGA)

Data for crystalline SnRuAu2 at its relaxed geometry. Values from VASP.

## Properties
Space group: I-42d
N(E_F) (states/eV per cell): 7.12
Calculated volume (Å³/cell): 153
Formation energy from the elements (eV per atom): 0.26

Quantum ESPRESSO input file:
```
&SYSTEM
  ibrav = 0, nat = 8, ntyp = 3
/
ATOMIC_SPECIES
Sn 118.71 Sn.upf
Ru 101.07 Ru.upf
Au 196.97 Au.upf
ATOMIC_POSITIONS crystal
Sn 0.000 0.000 0.000
Sn 0.750 0.250 0.500
Ru 0.250 0.750 0.500
Ru 0.500 0.500 0.000
Au 0.130 0.625 0.005
Au 0.375 0.380 0.505
Au 0.620 0.125 0.995
Au 0.875 0.870 0.495
CELL_PARAMETERS angstrom
-1.943 1.943 10.168
1.943 -1.943 10.168
1.943 1.943 -10.168
```

## DyCrCl (PBE-GGA)

Data for crystalline DyCrCl at its relaxed geometry. Values from VASP.

## Properties
Space group: P1
N(E_F) (states/eV per cell): 4.25
Formation energy without anion corrections (eV/atom): -0.270
Calculated volume (Å³/cell): 142

Quantum ESPRESSO input file:
```
&SYSTEM
  ibrav = 0, nat = 6, ntyp = 3
/
ATOMIC_SPECIES
Dy 162.50 Dy.upf
Cr 52.00 Cr.upf
Cl 35.45 Cl.upf
ATOMIC_POSITIONS crystal
Dy 0.000 0.000 0.000
Dy 0.342 0.959 0.365
Cr 0.057 0.208 0.683
Cr 0.724 0.874 0.682
Cl 0.014 0.521 0.458
Cl 0.772 0.550 0.908
CELL_PARAMETERS angstrom
3.381 0.000 0.000
1.689 4.795 0.000
1.678 -0.269 8.747
```

> Which of these has the highest N(E_F)?

Pu2ZnGa6Tc

> Which value of N(E_F) does entry 2 give?

5.04 states/eV per cell